# YS3Br

YS3Br after structural relaxation (PBE, the Alexandria database).

```
data_YS3Br
_cell_length_a 5.3536
_cell_length_b 5.3536
_cell_length_c 5.3536
_cell_angle_alpha 90.00
_cell_angle_beta 90.00
_cell_angle_gamma 90.00
_space_group_name_H-M_alt 'P m -3 m'
_space_group_IT_number 221
_space_group_name_Hall '-P 4 2 3'
loop_
_atom_site_label
_atom_site_type_symbol
_atom_site_fract_x
_atom_site_fract_y
_atom_site_fract_z
Y1 Y 0.0000 0.0000 0.0000
S1 S 0.0000 0.0000 0.5000
Br1 Br 0.5000 0.5000 0.5000
```

Summary:
E_form (uncorrected) (meV per atom): -127
Distance to the lowest polymorph of the same formula (eV/atom): 0.000

# BeFeAu2

BeFeAu2 after structural relaxation (PBE, the Alexandria database).

```
data_BeFeAu2
_cell_length_a 2.8863
_cell_length_b 2.8863
_cell_length_c 6.8047
_cell_angle_alpha 90.00
_cell_angle_beta 90.00
_cell_angle_gamma 90.00
_space_group_name_H-M_alt 'P 4/m m m'
_space_group_IT_number 123
_space_group_name_Hall '-P 4 2'
loop_
_atom_site_label
_atom_site_type_symbol
_atom_site_fract_x
_atom_site_fract_y
_atom_site_fract_z
Be1 Be 0.0000 0.0000 0.0000
Fe1 Fe 0.0000 0.0000 0.5000
Au1 Au 0.5000 0.5000 0.2197
```

Summary:
Energy relative to the elements (eV/atom): 0.019